Density functional theory data (PBE) for crystalline SrTl3Rh at its relaxed geometry.

a b c (Å): 6.4482 9.0905 9.6764
angles (deg): 98.22 90.00 90.00
Positions (direct):
Sr: 0.7685 0.5534 0.3046
Sr: 0.2315 0.4466 0.6954
Sr: 0.2685 0.9466 0.1954
Sr: 0.7315 0.0534 0.8046
Tl: 0.2936 0.3264 0.3204
Tl: 0.7064 0.6736 0.6796
Tl: 0.7936 0.1736 0.1796
Tl: 0.2064 0.8264 0.8204
Tl: 0.3118 0.6951 0.4473
Tl: 0.6882 0.3049 0.5527
Tl: 0.8118 0.8049 0.0527
Tl: 0.1882 0.1951 0.9473
Tl: 0.7018 0.9329 0.3978
Tl: 0.2982 0.0671 0.6022
Tl: 0.2018 0.5671 0.1022
Tl: 0.7982 0.4329 0.8978
Rh: 0.5103 0.3498 0.0724
Rh: 0.4897 0.6502 0.9276
Rh: 0.0103 0.1502 0.4276
Rh: 0.9897 0.8498 0.5724

Calculated values
**Volume**: 28.1 Å³ per atom
**ρ**: 9.5 g/cm3
**ΔE to the lowest computed polymorph**: 23 meV/atom